DFT (PBE-GGA) results for an optimized crystal structure of MnFe3Si.

Summary:
Its space-group type is Pm-3m. The magnetization comes out at 9.74 μB/f.u. The distance to the lowest polymorph of the same formula comes out at 0.000 kcal/mol of atoms.

Lattice parameters (Å, degrees): 4.220 4.220 4.220 90.00 90.00 90.00
Atoms (fractional coordinates):
1 Mn 0.000 0.000 0.000
2 Fe 0.000 0.500 0.500
3 Fe 0.500 0.000 0.500
4 Fe 0.500 0.500 0.000
5 Si 0.500 0.500 0.500



DFT (PBE-GGA) results for an optimized crystal structure of Cd2TeC.

Summary:
Its space-group type is I-42d. The magnetization comes out at 0.00 μB/f.u. The distance to the lowest polymorph of the same formula comes out at 0.000 kcal/mol of atoms.

Lattice parameters (Å, degrees): 6.828 6.828 6.828 126.72 126.72 78.70
Atoms (fractional coordinates):
1 Cd 0.025 0.625 0.900
2 Cd 0.375 0.275 0.400
3 Cd 0.725 0.125 0.100
4 Cd 0.875 0.975 0.600
5 Te 0.250 0.750 0.500
6 Te 0.500 0.500 0.000
7 C 0.000 0.000 0.000
8 C 0.750 0.250 0.500



DFT (PBE-GGA) results for an optimized crystal structure of Cr2AgMoS.

Summary:
Its space-group type is P4/mmm. The magnetization comes out at 1.37 μB/f.u.

Lattice parameters (Å, degrees): 4.298 4.298 4.631 90.00 90.00 90.00
Atoms (fractional coordinates):
1 Cr 0.000 0.500 0.000
2 Cr 0.500 0.000 0.000
3 Ag 0.000 0.000 0.500
4 Mo 0.500 0.500 0.500
5 S 0.000 0.000 0.000



DFT (PBE-GGA) results for an optimized crystal structure of TbCe2ScSb4.

Summary:
Its space-group type is P2/m. The magnetization comes out at 1.53 μB/f.u.

Lattice parameters (Å, degrees): 7.592 4.399 7.619 90.00 109.54 90.00
Atoms (fractional coordinates):
1 Tb 0.000 0.000 0.000
2 Ce 0.500 0.000 0.500
3 Ce 0.500 0.500 0.000
4 Sc 0.000 0.500 0.500
5 Sb 0.234 0.000 0.737
6 Sb 0.240 0.500 0.254
7 Sb 0.760 0.500 0.746
8 Sb 0.766 0.000 0.263



DFT (PBE-GGA) results for an optimized crystal structure of ZrTe2Ir.

Summary:
Its space-group type is Cm. The magnetization comes out at 0.00 μB/f.u. The distance to the lowest polymorph of the same formula comes out at 0.000 kcal/mol of atoms.

Lattice parameters (Å, degrees): 4.365 4.365 6.834 90.61 90.61 60.02
Atoms (fractional coordinates):
1 Zr 0.000 0.000 0.000
2 Te 0.331 0.331 0.763
3 Te 0.670 0.670 0.297
4 Ir 0.335 0.335 0.162



DFT (PBE-GGA) results for an optimized crystal structure of RbGaTe2.

Summary:
Its space-group type is P4/mmm. The magnetization comes out at 0.00 μB/f.u.

Lattice parameters (Å, degrees): 6.531 6.531 3.151 90.00 90.00 90.00
Atoms (fractional coordinates):
1 Rb 0.000 0.000 0.000
2 Ga 0.500 0.500 0.000
3 Te 0.000 0.500 0.500
4 Te 0.500 0.000 0.500



Raw formation energy, record by record: 0.690; 0.882; 0.829; -1.031; -0.634; -0.303 eV per atom
D(E_F), record by record: 1.21; 0.85; 0.58; 1.75; 0.61; 0.30 states/eV per atom